1.
Material: BeNi2Br
Method: DFT, PBE-GGA
State: relaxed

Computed properties:
M_tot = 0.28 μB per cell
energy = -3.947 eV/atom
polymorph energy (0 for the lowest one) = 160 meV per atom
energy relative to the elements, uncorrected = 0.29 eV/atom

Lattice parameters (Å, degrees): 3.103 3.103 5.524 90.00 90.00 90.00
Space group P4mm (No. 99)
Unique sites:
Be  0.000  0.000  0.000 (multiplicity 1)
Ni  0.000  0.000  0.625 (multiplicity 1)
Ni  0.500  0.500  0.897 (multiplicity 1)
Br  0.500  0.500  0.353 (multiplicity 1)

---

2.
Material: Pu4Pd
Method: DFT, PBE-GGA
State: relaxed

Computed properties:
energy relative to the elements = 0.415 eV per atom
M_tot = 24.34 μB per cell
energy = -12.089 eV/atom

Lattice parameters (Å, degrees): 5.464 5.464 5.464 90.00 90.00 90.00
Space group Pm-3m (No. 221)
Unique sites:
Pu  0.000  0.000  0.000 (multiplicity 1)
Pu  0.000  0.500  0.500 (multiplicity 3)
Pd  0.500  0.500  0.500 (multiplicity 1)

---

3.
Material: ErHgSO6
Method: DFT, PBE-GGA
State: relaxed

Computed properties:
M_tot = 1.06 μB per cell
energy = -5.864 eV/atom
energy relative to the elements, uncorrected = -1.56 eV/atom

Lattice parameters (Å, degrees): 4.605 5.710 5.766 72.38 84.11 88.07
Space group P1 (No. 1)
Unique sites:
Er  0.000  0.000  0.000 (multiplicity 1)
Hg  0.427  0.857  0.468 (multiplicity 1)
S  0.041  0.384  0.399 (multiplicity 1)
O  0.283  0.773  0.826 (multiplicity 1)
O  0.356  0.381  0.405 (multiplicity 1)
O  0.484  0.981  0.087 (multiplicity 1)
O  0.892  0.263  0.649 (multiplicity 1)
O  0.928  0.643  0.315 (multiplicity 1)
O  0.952  0.249  0.232 (multiplicity 1)

---

4.
Material: Pm2Nd2Rh
Method: DFT, PBE-GGA
State: relaxed

Computed properties:
energy relative to the elements = -0.259 eV per atom
M_tot = 0.00 μB per cell
energy = -5.537 eV/atom

Lattice parameters (Å, degrees): 7.638 12.126 7.466 90.00 113.75 90.00
Space group C2/m (No. 12)
Unique sites:
Pm  0.229  0.000  0.399 (multiplicity 4)
Pm  0.243  0.500  0.106 (multiplicity 4)
Nd  0.047  0.276  0.753 (multiplicity 8)
Rh  0.000  0.122  0.000 (multiplicity 4)